Entry from Alexandria via LeMat-Bulk: a geometry-optimized ZrBe2Re structure (GGA-PBE).

a b c (Å): 3.4020 3.3064 4.9365
angles (deg): 70.45 90.00 90.00
Last column: nearest neighbours and their distance in Å.
Fractional positions:
Re  0.0000  0.4835  0.4088  6 Be 2.45-2.46
Zr  0.5000  0.7840  0.8065  7 Be 2.51-2.70
Be  0.0000  0.1781  0.0187  2 Be 2.05
Be  0.5000  0.0544  0.2660  2 Be 2.05

Values from the calculation:
Fermi-level density of states: 0.585 states/eV/atom
Crystal system: orthorhombic
Calculated formation energy: -0.92 eV per formula unit
Space group: Amm2 (38)
Total moment: 0.00 μB/atom